The following is a DFT calculation (PBE with a Hubbard U) of crystalline Li5Mn2CoO8 at its relaxed geometry.

abc: 2.9627 5.0712 9.8126
angles: 78.32 87.89 88.39
Space group P-1 (No. 2)
Symmetry-distinct sites (fractional):
Li (0.0000, 0.0000, 0.0000) [1 per cell]
Li (0.0278, 0.7466, 0.7733) [2 per cell]
Li (0.4981, 0.7754, 0.2231) [2 per cell]
Mn (0.0000, 0.5000, 0.5000) [1 per cell]
Mn (0.5000, 0.0000, 0.5000) [1 per cell]
Co (0.5000, 0.5000, 0.0000) [1 per cell]
O (0.0121, 0.3891, 0.8927) [2 per cell]
O (0.0435, 0.1410, 0.6167) [2 per cell]
O (0.4639, 0.6288, 0.6086) [2 per cell]
O (0.4939, 0.1621, 0.1138) [2 per cell]

Total moment in μB/f.u.: 8.83
Raw total energy in eV/atom: -5.918
Offset from the most stable computed form in meV/atom: 106
D(E_F) in states/eV per cell: 2.73